# 1
Here is crystalline Ca2BHO at its relaxed geometry from Alexandria. Energies are from PBEsol.

Output
Magnetization in μB/atom: 0.00
V in Å³/cell: 61.84
Electronic total energy in eV for the cell shown: -22.27

Cell lengths 4.536, 4.536, 3.006 Å; angles 90.00, 90.00, 90.00 degrees
Space group P4/mmm (No. 123)
Inequivalent atoms, fractional coordinates:
Ca 0.000 0.500 0.000 [2 per cell]
B 0.000 0.000 0.500 [1 per cell]
H 0.000 0.000 0.000 [1 per cell]
O 0.500 0.500 0.500 [1 per cell]


# 2
Here is crystalline AgGePO2 at its relaxed geometry from Alexandria. Energies are from PBEsol.

Output
Uncorrected formation energy in eV/f.u.: -1.3
Magnetization in μB/atom: 0.00
V in Å³/cell: 69.47
Electronic total energy in eV for the cell shown: -25.82

Cell lengths 3.600, 3.600, 5.360 Å; angles 90.00, 90.00, 90.00 degrees
Space group P4/mmm (No. 123)
Inequivalent atoms, fractional coordinates:
Ag 0.000 0.000 0.000 [1 per cell]
Ge 0.500 0.500 0.500 [1 per cell]
P 0.500 0.500 0.000 [1 per cell]
O 0.000 0.500 0.500 [2 per cell]


# 3
Here is crystalline SiMoPt2 at its relaxed geometry from Alexandria. Energies are from PBEsol.

Output
Uncorrected formation energy in eV/f.u.: -1.0
Magnetization in μB/atom: 0.00
V in Å³/cell: 58.05
Electronic total energy in eV for the cell shown: -32.41

Cell lengths 4.591, 2.744, 4.817 Å; angles 90.00, 106.96, 90.00 degrees
Space group P2/m (No. 10)
Inequivalent atoms, fractional coordinates:
Si 0.000 0.000 0.000 [1 per cell]
Mo 0.500 0.500 0.000 [1 per cell]
Pt 0.000 0.500 0.500 [1 per cell]
Pt 0.500 0.000 0.500 [1 per cell]


# 4
Here is crystalline Be3Te at its relaxed geometry from Alexandria. Energies are from PBEsol.

Output
Uncorrected formation energy in eV/f.u.: 2.8
Magnetization in μB/atom: 0.00
V in Å³/cell: 111.04
Electronic total energy in eV for the cell shown: -25.41

Cell lengths 3.469, 8.065, 3.969 Å; angles 90.00, 90.00, 90.00 degrees
Space group Imm2 (No. 44)
Inequivalent atoms, fractional coordinates:
Be 0.000 0.000 0.000 [2 per cell]
Be 0.000 0.247 0.696 [4 per cell]
Te 0.000 0.500 0.031 [2 per cell]


Which of these has the highest electronic total energy?
Ca2BHO